(1)
A plane-wave DFT calculation with GGA-PBE was carried out for a relaxed structure of LaMgNb.

```
3
Lattice="-0.4167 -2.0176 4.4969 -4.4757 -0.9532 1.8779 -1.5359 -4.6774 0.4795" Properties=species:S:1:pos:R:3 pbc="T T T"
Mg -4.8213 -5.7362 5.1408
La -1.6071 -1.9120 1.7136
Nb 0.0000 0.0000 0.0000
```

Calculated values
* energy above the lowest structure with this stoichiometry: 0 kJ/mol of formula units
* E: -4.68 eV per atom
* magnetic moment: 0.751 μB/atom
* space group: F-43m (216)

(2)
A plane-wave DFT calculation with GGA-PBE was carried out for a relaxed structure of DyZrSi2.

```
8
Lattice="5.5226 0.0000 0.0000 0.0000 3.7993 0.0000 -0.2043 0.0000 7.4545" Properties=species:S:1:pos:R:3 pbc="T T T"
Si 0.5783 0.9498 7.2038
Si 1.9435 0.9498 3.3947
Si 4.7401 2.8494 0.2507
Si 3.3749 2.8494 4.0598
Dy 0.5511 2.8494 5.0747
Dy 4.7672 0.9498 2.3798
Zr 2.0848 2.8494 1.3154
Zr 3.2336 0.9498 6.1391
```

Calculated values
* energy above the lowest structure with this stoichiometry: 6 kJ/mol of formula units
* E: -6.83 eV per atom
* magnetic moment: 0.001 μB/atom
* space group: P2_1/m (11)